Record 1
A geometry-optimized Hg2AsRuSe structure, computed with PBE.

Calculated values
- Magnetization: 2.6 μB per cell
- Uncorrected energy: -11.34 eV for the cell shown
- Raw formation energy: 1334 meV per atom

Cell lengths 5.1991, 5.1780, 5.1991 Å; angles 90.00, 90.00, 90.00 degrees
Last column: nearest neighbours and their distance in Å.
Sites, in units of the cell vectors:
Se (0.0000, 0.0000, 0.0000)  2 As 2.59, 4 Hg 2.60
Hg (0.0000, 0.0000, 0.5000)  2 Se 2.60
Hg (0.5000, 0.0000, 0.0000)  2 Se 2.60
As (0.0000, 0.5000, 0.0000)  2 Se 2.59
Ru (0.5000, 0.5000, 0.5000)  8 Hg 3.67, 4 As 3.68

Record 2
A geometry-optimized HgAsRuSe2 structure, computed with PBE.

Calculated values
- Magnetization: 0.0 μB per cell
- Uncorrected energy: -19.21 eV for the cell shown
- Energy above the most stable polymorph in this dataset: 0.000 eV per atom
- Raw formation energy: 397 meV per atom

Cell lengths 5.0786, 4.6226, 5.0786 Å; angles 90.00, 90.00, 90.00 degrees
Last column: nearest neighbours and their distance in Å.
Sites, in units of the cell vectors:
Ru (0.0000, 0.0000, 0.0000)  2 As 2.31, 4 Se 2.54
Se (0.5000, 0.0000, 0.0000)  2 Ru 2.54
Se (0.0000, 0.0000, 0.5000)  2 Ru 2.54
Hg (0.5000, 0.5000, 0.5000)  8 Se 3.43, 4 As 3.59
As (0.0000, 0.5000, 0.0000)  2 Ru 2.31

Record 3
A geometry-optimized Sr2HgAsRu structure, computed with PBE.

Calculated values
- Energy of formation from the pure elements: -0.321 eV/atom
- Magnetization: 0.0 μB per cell
- Uncorrected energy: -19.20 eV for the cell shown

Cell lengths 5.8589, 4.6528, 5.8589 Å; angles 90.00, 90.00, 90.00 degrees
Last column: nearest neighbours and their distance in Å.
Sites, in units of the cell vectors:
Ru (0.0000, 0.0000, 0.0000)  2 As 2.33
Sr (0.0000, 0.0000, 0.5000)  2 Ru 2.93
Sr (0.5000, 0.0000, 0.0000)  2 Ru 2.93
Hg (0.5000, 0.5000, 0.5000)  8 Sr 3.74, 4 As 4.14
As (0.0000, 0.5000, 0.0000)  2 Ru 2.33

Record 4
A geometry-optimized TcHgAs2Ru structure, computed with PBE.

Calculated values
- Energy of formation from the pure elements: 2.099 eV/atom
- Magnetization: 5.6 μB per cell
- Uncorrected energy: -18.75 eV for the cell shown

Cell lengths 5.0252, 5.1700, 5.0252 Å; angles 90.00, 90.00, 90.00 degrees
Last column: nearest neighbours and their distance in Å.
Sites, in units of the cell vectors:
As (0.5000, 0.0000, 0.0000)  2 Hg 2.51
As (0.0000, 0.0000, 0.5000)  2 Hg 2.51
Hg (0.0000, 0.0000, 0.0000)  4 As 2.51, 2 Tc 2.59
Tc (0.0000, 0.5000, 0.0000)  2 Hg 2.59
Ru (0.5000, 0.5000, 0.5000)  4 Tc 3.55, 8 As 3.60

Record 5
A geometry-optimized Hg2AsRuW structure, computed with PBE.

Calculated values
- Energy of formation from the pure elements: 1.523 eV/atom
- Magnetization: 0.2 μB per cell
- Uncorrected energy: -19.87 eV for the cell shown

Cell lengths 5.3096, 4.6339, 5.3096 Å; angles 90.00, 90.00, 90.00 degrees
Last column: nearest neighbours and their distance in Å.
Sites, in units of the cell vectors:
W (0.0000, 0.0000, 0.0000)  2 Ru 2.32
Ru (0.0000, 0.5000, 0.0000)  2 W 2.32
Hg (0.5000, 0.0000, 0.0000)  2 W 2.65
Hg (0.0000, 0.0000, 0.5000)  2 W 2.65
As (0.5000, 0.5000, 0.5000)  8 Hg 3.52, 4 Ru 3.75

Record 6
A geometry-optimized HgAs2S4 structure, computed with PBE.

Calculated values
- Magnetization: 0.0 μB per cell
- Uncorrected energy: -24.87 eV for the cell shown
- Raw formation energy: 177 meV per atom

Cell lengths 6.2039, 6.2039, 6.2039 Å; angles 106.93, 106.93, 114.68 degrees
Last column: nearest neighbours and their distance in Å.
Sites, in units of the cell vectors:
Hg (0.5000, 0.5000, 0.0000)  4 S 2.66
S (0.3283, 0.1838, 0.5121)  2 As 2.50, 1 Hg 2.66
S (0.6717, 0.8162, 0.4879)  2 As 2.50, 1 Hg 2.66
S (0.8162, 0.3283, 0.1445)  2 As 2.50, 1 Hg 2.66
S (0.1838, 0.6717, 0.8555)  2 As 2.50, 1 Hg 2.66
As (0.7500, 0.2500, 0.5000)  4 S 2.50
As (0.2500, 0.7500, 0.5000)  4 S 2.50

Record 7
A geometry-optimized HgAsS2 structure, computed with PBE.

Calculated values
- Magnetization: 0.0 μB per cell
- Uncorrected energy: -13.01 eV for the cell shown
- Energy above the most stable polymorph in this dataset: 0.142 eV per atom
- Raw formation energy: 50 meV per atom

Cell lengths 10.1398, 10.1398, 10.1398 Å; angles 19.62, 19.62, 19.62 degrees
Last column: nearest neighbours and their distance in Å.
Sites, in units of the cell vectors:
Hg (0.0000, 0.0000, 0.0000)  6 Hg 3.45, 2 S 3.49
S (0.1170, 0.1170, 0.1170)  3 As 2.48
S (0.8830, 0.8830, 0.8830)  3 As 2.48
As (0.5000, 0.5000, 0.5000)  6 S 2.48

Record 8
A geometry-optimized HgAs2S structure, computed with PBE.

Calculated values
- Magnetization: 0.0 μB per cell
- Uncorrected energy: -11.39 eV for the cell shown
- Energy above the most stable polymorph in this dataset: 0.312 eV per atom
- Raw formation energy: 585 meV per atom

Cell lengths 4.8317, 4.8317, 4.8317 Å; angles 60.00, 60.00, 60.00 degrees
Last column: nearest neighbours and their distance in Å.
Sites, in units of the cell vectors:
As (0.7500, 0.7500, 0.7500)  4 Hg 2.96, 4 S 2.96
As (0.2500, 0.2500, 0.2500)  4 S 2.96, 4 Hg 2.96
S (0.0000, 0.0000, 0.0000)  8 As 2.96
Hg (0.5000, 0.5000, 0.5000)  8 As 2.96

Record 9
A geometry-optimized HgAsS2 structure, computed with PBE.

Calculated values
- Magnetization: 0.0 μB per cell
- Uncorrected energy: -11.25 eV for the cell shown
- Energy above the most stable polymorph in this dataset: 0.581 eV per atom
- Raw formation energy: 490 meV per atom

Cell lengths 4.7592, 4.7592, 4.7592 Å; angles 60.00, 60.00, 60.00 degrees
Last column: nearest neighbours and their distance in Å.
Sites, in units of the cell vectors:
S (0.2500, 0.2500, 0.2500)  4 Hg 2.91, 4 As 2.91
S (0.7500, 0.7500, 0.7500)  4 Hg 2.91, 4 As 2.91
As (0.0000, 0.0000, 0.0000)  8 S 2.91
Hg (0.5000, 0.5000, 0.5000)  8 S 2.91

Record 10
A geometry-optimized Hg3AsS structure, computed with PBE.

Calculated values
- Magnetization: 0.0 μB per cell
- Uncorrected energy: -7.69 eV for the cell shown
- Energy above the most stable polymorph in this dataset: 0.289 eV per atom
- Raw formation energy: 398 meV per atom

Cell lengths 5.2524, 5.2524, 5.2524 Å; angles 90.00, 90.00, 90.00 degrees
Last column: nearest neighbours and their distance in Å.
Sites, in units of the cell vectors:
S (0.5000, 0.5000, 0.5000)  12 Hg 3.71
Hg (0.0000, 0.0000, 0.5000)  2 As 2.63
Hg (0.5000, 0.0000, 0.0000)  2 As 2.63
Hg (0.0000, 0.5000, 0.0000)  2 As 2.63
As (0.0000, 0.0000, 0.0000)  6 Hg 2.63

Record 11
A geometry-optimized HgAs4S8 structure, computed with PBE.

Calculated values
- Magnetization: 0.0 μB per cell
- Uncorrected energy: -51.49 eV for the cell shown
- Raw formation energy: 33 meV per atom

Cell lengths 7.4751, 7.4751, 7.4751 Å; angles 60.00, 60.00, 60.00 degrees
Last column: nearest neighbours and their distance in Å.
Sites, in units of the cell vectors:
As (0.9001, 0.3666, 0.3666)  6 S 2.50-2.62
As (0.3666, 0.9001, 0.3666)  6 S 2.50-2.62
As (0.3666, 0.3666, 0.3666)  6 S 2.50-2.62
As (0.3666, 0.3666, 0.9001)  6 S 2.50-2.62
S (0.1301, 0.1301, 0.1301)  3 As 2.50
S (0.1301, 0.1301, 0.6097)  3 As 2.50
S (0.1623, 0.6126, 0.6126)  1 Hg 2.52, 3 As 2.62
S (0.1301, 0.6097, 0.1301)  3 As 2.50
S (0.6126, 0.1623, 0.6126)  1 Hg 2.52, 3 As 2.62
S (0.6126, 0.6126, 0.6126)  1 Hg 2.52, 3 As 2.62
S (0.6097, 0.1301, 0.1301)  3 As 2.50
S (0.6126, 0.6126, 0.1623)  1 Hg 2.52, 3 As 2.62
Hg (0.7500, 0.7500, 0.7500)  4 S 2.52

Record 12
A geometry-optimized HgAsS4 structure, computed with PBE.

Calculated values
- Magnetization: 0.0 μB per cell
- Uncorrected energy: -19.78 eV for the cell shown
- Energy above the most stable polymorph in this dataset: 0.135 eV per atom
- Raw formation energy: 280 meV per atom

Cell lengths 3.4997, 6.5727, 6.5208 Å; angles 67.50, 90.00, 90.00 degrees
Last column: nearest neighbours and their distance in Å.
Sites, in units of the cell vectors:
S (0.5000, 0.2520, 0.7913)  2 As 2.44
S (0.0000, 0.7715, 0.7778)  1 As 2.45, 2 Hg 2.55
S (0.5000, 0.7480, 0.2087)  2 As 2.44
S (0.0000, 0.2285, 0.2222)  1 As 2.45, 2 Hg 2.55
As (0.0000, 0.0000, 0.0000)  6 S 2.44-2.45
Hg (0.5000, 0.0000, 0.5000)  4 S 2.55

The evaluated N(E_F) for the records listed, in turn: 1.195; 1.204; 0.242; 0.896; 1.279; 0.117; 0.631; 0.785; 0.473; 0.630; 0.700; 0.652 states/eV per atom.